(1)
Compound: ReIrN3
Source: Alexandria
Functional: PBE
Structure: relaxed

- VASP energy: -7.7986 eV/atom
- Space-group type: Pm-3m, No. 221
- Formation energy from raw total energies: 1458 meV/atom

Unit cell a=3.8744 b=3.8744 c=3.8744 alpha=90.00 beta=90.00 gamma=90.00
Fractional coordinates of all 5 atoms:
Re  0.0000  0.0000  0.0000
Ir  0.5000  0.5000  0.5000
N  0.0000  0.0000  0.5000
N  0.0000  0.5000  0.0000
N  0.5000  0.0000  0.0000

(2)
Compound: Pr2TcN6
Source: Alexandria
Functional: PBE
Structure: relaxed

- VASP energy: -7.3246 eV/atom
- Space-group type: Fm-3m, No. 225
- Formation energy from raw total energies: 440 meV/atom

Unit cell a=5.4368 b=5.4368 c=5.4368 alpha=60.00 beta=60.00 gamma=60.00
Fractional coordinates of all 9 atoms:
Pr  0.2500  0.2500  0.2500
Pr  0.7500  0.7500  0.7500
Tc  0.0000  0.0000  0.0000
N  0.2562  0.2562  0.7438
N  0.2562  0.7438  0.2562
N  0.2562  0.7438  0.7438
N  0.7438  0.2562  0.2562
N  0.7438  0.2562  0.7438
N  0.7438  0.7438  0.2562

(3)
Compound: Sm3Tm2Al3
Source: Alexandria
Functional: PBE
Structure: relaxed

- VASP energy: -4.5754 eV/atom
- Formation energy: -0.28 eV per atom
- Space-group type: Immm, No. 71

Unit cell a=11.3320 b=11.3320 c=11.3320 alpha=161.27 beta=153.22 gamma=32.88
Fractional coordinates of all 8 atoms:
Sm  0.0000  0.0000  0.0000
Sm  0.3791  0.8791  0.5000
Sm  0.6209  0.1209  0.5000
Tm  0.2312  0.2312  0.0000
Tm  0.7688  0.7688  0.0000
Al  0.1199  0.6199  0.5000
Al  0.5000  0.5000  0.0000
Al  0.8801  0.3801  0.5000

(4)
Compound: BeNi2Se
Source: Alexandria
Functional: PBE
Structure: relaxed

- VASP energy: -4.4514 eV/atom
- Energy above the most stable polymorph in this dataset: 0.289 eV/atom
- Space-group type: F-43m, No. 216
- Formation energy from raw total energies: 242 meV/atom

Unit cell a=4.0783 b=4.0783 c=4.0783 alpha=60.00 beta=60.00 gamma=60.00
Fractional coordinates of all 4 atoms:
Be  0.0000  0.0000  0.0000
Ni  0.5000  0.5000  0.5000
Ni  0.7500  0.7500  0.7500
Se  0.2500  0.2500  0.2500

(5)
Compound: NdNpC
Source: Alexandria
Functional: PBE
Structure: relaxed

- VASP energy: -8.5064 eV/atom
- Energy above the most stable polymorph in this dataset: 0.279 eV/atom
- Formation energy: 0.47 eV per atom
- Space-group type: I4mm, No. 107

Unit cell a=7.1514 b=7.1514 c=7.1514 alpha=153.87 beta=153.87 gamma=37.29
Fractional coordinates of all 3 atoms:
Nd  0.0000  0.0000  0.0000
Np  0.7228  0.7228  0.0000
C  0.1812  0.1812  0.0000

(6)
Compound: CdAs2SeN
Source: Alexandria
Functional: PBE
Structure: relaxed

- VASP energy: -3.6594 eV/atom
- Energy above the most stable polymorph in this dataset: 0.000 eV/atom
- Space-group type: P4/mmm, No. 123
- Formation energy from raw total energies: 745 meV/atom

Unit cell a=4.4059 b=4.4059 c=4.6512 alpha=90.00 beta=90.00 gamma=90.00
Fractional coordinates of all 5 atoms:
Cd  0.0000  0.0000  0.0000
As  0.0000  0.5000  0.5000
As  0.5000  0.0000  0.5000
Se  0.5000  0.5000  0.0000
N  0.5000  0.5000  0.5000